A geometry-optimized NpNiBi2O6 structure, computed with PBE+U.

## Properties
Calculated total energy   -6.928 eV/atom
D(E_F)   0.692 states/eV/atom
Magnetic moment   4.55 μB per formula unit

Structure (extended XYZ):
```
20
Lattice="6.245 0.000 0.212 0.000 5.701 0.000 0.381 0.000 8.059" Properties=species:S:1:pos:R:3 pbc="T T T"
O 5.011 4.255 4.797
O 3.818 0.004 2.199
O 1.698 4.296 0.662
O 4.931 4.299 7.607
O 4.928 1.405 7.608
O 0.886 2.847 6.122
O 1.618 4.252 3.472
O 5.740 2.854 2.148
O 1.615 1.446 3.473
O 5.008 1.449 4.798
O 1.695 1.401 0.663
O 2.808 5.697 6.071
Np 3.313 0.000 4.135
Np 0.000 2.850 0.000
Bi 2.870 2.847 2.072
Bi 3.756 2.854 6.198
Bi 0.443 5.697 2.063
Bi 6.183 0.004 6.207
Ni 0.190 2.850 4.029
Ni 3.123 0.000 0.106
```